Record 1
Here is an optimized crystal structure of K2MgCrO from Alexandria via LeMat-Bulk. Energies are from PBE+U.

abc: 6.911 6.911 3.764
angles: 90.00 90.00 90.00
Fractional positions:
K 0.000 0.500 0.000
K 0.500 0.000 0.000
Mg 0.000 0.000 0.500
Cr 0.500 0.500 0.000
O 0.500 0.500 0.500

Computed properties:
For the uncorrected energy, the calculation gives -3.48 eV per atom. Its space group is No. 123.


Record 2
Here is an optimized crystal structure of KMg6CrO8 from Alexandria via LeMat-Bulk. Energies are from PBE+U.

abc: 4.433 4.433 8.712
angles: 90.00 90.00 90.00
Fractional positions:
K 0.000 0.000 0.000
Mg 0.000 0.500 0.245
Mg 0.000 0.500 0.755
Mg 0.500 0.000 0.245
Mg 0.500 0.000 0.755
Mg 0.500 0.500 0.000
Mg 0.500 0.500 0.500
Cr 0.000 0.000 0.500
O 0.000 0.000 0.277
O 0.000 0.000 0.723
O 0.000 0.500 0.000
O 0.000 0.500 0.500
O 0.500 0.000 0.000
O 0.500 0.000 0.500
O 0.500 0.500 0.253
O 0.500 0.500 0.747

Computed properties:
For the uncorrected energy, the calculation gives -5.81 eV per atom. Its space group is No. 123. For the energy above the lowest structure with this stoichiometry, the calculation gives 0 meV/atom.


Record 3
Here is an optimized crystal structure of KMg6CrO8 from Alexandria via LeMat-Bulk. Energies are from PBE+U.

abc: 4.415 4.415 8.743
angles: 90.00 90.00 90.00
Fractional positions:
K 0.000 0.000 0.000
Mg 0.000 0.000 0.500
Mg 0.000 0.500 0.255
Mg 0.000 0.500 0.745
Mg 0.500 0.000 0.255
Mg 0.500 0.000 0.745
Mg 0.500 0.500 0.500
Cr 0.500 0.500 0.000
O 0.000 0.000 0.276
O 0.000 0.000 0.724
O 0.000 0.500 0.000
O 0.000 0.500 0.500
O 0.500 0.000 0.000
O 0.500 0.000 0.500
O 0.500 0.500 0.240
O 0.500 0.500 0.760

Computed properties:
For the uncorrected energy, the calculation gives -5.80 eV per atom. Its space group is No. 123. For the energy above the lowest structure with this stoichiometry, the calculation gives 13 meV/atom.